! Ac4Ge5Pt2 (PBE, optimized geometry); values from VASP
! * crystal system: monoclinic
! * Fermi-level density of states: 0.578 states/eV per atom
! * ΔH_f (0 K): -0.801 eV per atom
&SYSTEM
  ibrav = 0, nat = 11, ntyp = 3
/
ATOMIC_SPECIES
Ge 72.64 Ge.upf
Ac 227.00 Ac.upf
Pt 195.08 Pt.upf
CELL_PARAMETERS angstrom
4.504 0.000 0.000
0.000 7.502 0.488
0.000 -0.120 8.733
ATOMIC_POSITIONS angstrom
Ge 0.000 3.751 0.244
Ac 2.252 5.563 5.821
Pt 0.000 6.807 3.667
Ac 2.252 1.642 7.657
Pt 0.000 0.575 5.554
Ge 0.000 3.091 5.776
Ac 2.252 5.740 1.564
Ge 0.000 0.770 1.086
Ge 0.000 6.612 8.136
Ge 0.000 4.291 3.445
Ac 2.252 1.819 3.400